# CrPCl2

CrPCl2 at its PBEsol-relaxed geometry (SCAN, the Alexandria database).

Raw formation energy, eV per atom: 0.11
Mass density, g/cm³: 3.48

Cell and atoms, written as CIF:
```
data_CrPCl2
_chemical_formula_sum 'Cr1 P1 Cl2'
_cell_length_a 2.856
_cell_length_b 2.856
_cell_length_c 9.002
_cell_angle_alpha 90.00
_cell_angle_beta 90.00
_cell_angle_gamma 90.00
_space_group_name_H-M_alt 'P 4/m m m'
_space_group_IT_number 123
_space_group_name_Hall '-P 4 2'
loop_
_atom_site_label
_atom_site_type_symbol
_atom_site_fract_x
_atom_site_fract_y
_atom_site_fract_z
Cr1 Cr 0.000 0.000 0.000
P1 P 0.000 0.000 0.500
Cl1 Cl 0.500 0.500 0.162
```

***

# CrPCl2

CrPCl2 at its PBEsol-relaxed geometry (SCAN, the Alexandria database).

Raw formation energy, eV per atom: -0.01
Mass density, g/cm³: 3.52

Cell and atoms, written as CIF:
```
data_CrPCl2
_chemical_formula_sum 'Cr2 P2 Cl4'
_cell_length_a 5.828
_cell_length_b 6.212
_cell_length_c 4.015
_cell_angle_alpha 90.00
_cell_angle_beta 90.00
_cell_angle_gamma 90.00
_space_group_name_H-M_alt 'C m m m'
_space_group_IT_number 65
_space_group_name_Hall '-C 2 2'
loop_
_atom_site_label
_atom_site_type_symbol
_atom_site_fract_x
_atom_site_fract_y
_atom_site_fract_z
Cr1 Cr 0.000 0.000 0.000
P1 P 0.000 0.500 0.000
Cl1 Cl 0.000 0.237 0.500
```

***

# Cr2PCl

Cr2PCl at its PBEsol-relaxed geometry (SCAN, the Alexandria database).

Raw formation energy, eV per atom: -0.19
Mass density, g/cm³: 4.43

Cell and atoms, written as CIF:
```
data_Cr2PCl
_chemical_formula_sum 'Cr4 P2 Cl2'
_cell_length_a 6.689
_cell_length_b 6.626
_cell_length_c 3.104
_cell_angle_alpha 90.00
_cell_angle_beta 111.86
_cell_angle_gamma 90.00
_space_group_name_H-M_alt 'C 1 2/m 1'
_space_group_IT_number 12
_space_group_name_Hall '-C 2y'
loop_
_atom_site_label
_atom_site_type_symbol
_atom_site_fract_x
_atom_site_fract_y
_atom_site_fract_z
Cr1 Cr 0.250 0.250 0.000
P1 P 0.000 0.000 0.500
Cl1 Cl 0.000 0.500 0.500
```

***

# CrP2Cl

CrP2Cl at its PBEsol-relaxed geometry (SCAN, the Alexandria database).

Raw formation energy, eV per atom: -0.06
Mass density, g/cm³: 3.95

Cell and atoms, written as CIF:
```
data_CrP2Cl
_chemical_formula_sum 'Cr3 P6 Cl3'
_cell_length_a 3.0247
_cell_length_b 3.0247
_cell_length_c 23.8005
_cell_angle_alpha 90.00
_cell_angle_beta 90.00
_cell_angle_gamma 120.00
_space_group_name_H-M_alt 'R 3 m'
_space_group_IT_number 160
_space_group_name_Hall 'R 3 -2"'
loop_
_atom_site_label
_atom_site_type_symbol
_atom_site_fract_x
_atom_site_fract_y
_atom_site_fract_z
Cr1 Cr 0.0000 0.0000 0.0000
P1 P 0.0000 0.0000 0.4704
P2 P 0.0000 0.0000 0.7420
Cl1 Cl 0.0000 0.0000 0.2728
```

***

# CrP2Cl

CrP2Cl at its PBEsol-relaxed geometry (SCAN, the Alexandria database).

Raw formation energy, eV per atom: 0.78
Mass density, g/cm³: 4.70

Cell and atoms, written as CIF:
```
data_CrP2Cl
_chemical_formula_sum 'Cr4 P8 Cl4'
_cell_length_a 5.953
_cell_length_b 5.953
_cell_length_c 5.953
_cell_angle_alpha 90.00
_cell_angle_beta 90.00
_cell_angle_gamma 90.00
_space_group_name_H-M_alt 'F -4 3 m'
_space_group_IT_number 216
_space_group_name_Hall 'F -4 2 3'
loop_
_atom_site_label
_atom_site_type_symbol
_atom_site_fract_x
_atom_site_fract_y
_atom_site_fract_z
Cr1 Cr 0.000 0.000 0.000
P1 P 0.000 0.000 0.500
P2 P 0.250 0.250 0.250
Cl1 Cl 0.250 0.250 0.750
```

***

# CrP2PbCl

CrP2PbCl at its PBEsol-relaxed geometry (SCAN, the Alexandria database).

Raw formation energy, eV per atom: 0.00
Mass density, g/cm³: 5.96

Cell and atoms, written as CIF:
```
data_CrP2PbCl
_chemical_formula_sum 'Cr1 P2 Pb1 Cl1'
_cell_length_a 4.462
_cell_length_b 4.462
_cell_length_c 4.994
_cell_angle_alpha 90.00
_cell_angle_beta 90.00
_cell_angle_gamma 90.00
_space_group_name_H-M_alt 'P 4/m m m'
_space_group_IT_number 123
_space_group_name_Hall '-P 4 2'
loop_
_atom_site_label
_atom_site_type_symbol
_atom_site_fract_x
_atom_site_fract_y
_atom_site_fract_z
Cr1 Cr 0.000 0.000 0.000
P1 P 0.000 0.500 0.000
Pb1 Pb 0.500 0.500 0.500
Cl1 Cl 0.000 0.000 0.500
```

***

# CrPPdCl2

CrPPdCl2 at its PBEsol-relaxed geometry (SCAN, the Alexandria database).

Raw formation energy, eV per atom: 0.05
Mass density, g/cm³: 4.54

Cell and atoms, written as CIF:
```
data_CrPPdCl2
_chemical_formula_sum 'Cr1 P1 Pd1 Cl2'
_cell_length_a 4.549
_cell_length_b 4.549
_cell_length_c 4.597
_cell_angle_alpha 90.00
_cell_angle_beta 90.00
_cell_angle_gamma 90.00
_space_group_name_H-M_alt 'P 4/m m m'
_space_group_IT_number 123
_space_group_name_Hall '-P 4 2'
loop_
_atom_site_label
_atom_site_type_symbol
_atom_site_fract_x
_atom_site_fract_y
_atom_site_fract_z
Cr1 Cr 0.000 0.000 0.000
P1 P 0.000 0.000 0.500
Pd1 Pd 0.500 0.500 0.500
Cl1 Cl 0.000 0.500 0.000
```

***

# RbCrP2Cl

RbCrP2Cl at its PBEsol-relaxed geometry (SCAN, the Alexandria database).

Raw formation energy, eV per atom: 1.43
Mass density, g/cm³: 2.43

Cell and atoms, written as CIF:
```
data_RbCrP2Cl
_chemical_formula_sum 'Rb1 Cr1 P2 Cl1'
_cell_length_a 5.386
_cell_length_b 5.386
_cell_length_c 5.524
_cell_angle_alpha 90.00
_cell_angle_beta 90.00
_cell_angle_gamma 90.00
_space_group_name_H-M_alt 'P 4/m m m'
_space_group_IT_number 123
_space_group_name_Hall '-P 4 2'
loop_
_atom_site_label
_atom_site_type_symbol
_atom_site_fract_x
_atom_site_fract_y
_atom_site_fract_z
Rb1 Rb 0.000 0.000 0.000
Cr1 Cr 0.500 0.500 0.500
P1 P 0.000 0.500 0.000
Cl1 Cl 0.000 0.000 0.500
```